No. 1
# GdDy2Hg

A relaxed GdDy2Hg crystal (GGA-PBE, Alexandria via LeMat-Bulk).

Cell: 3.6036 3.6036 8.9164 Å, 90.00 90.00 90.00°
Last column: nearest neighbours and their distance in Å.
Sites, in units of the cell vectors:
Gd (0.0000, 0.0000, 0.0000)  8 Dy 3.56, 4 Gd 3.60
Dy (0.5000, 0.5000, 0.2786)  4 Hg 3.22, 4 Gd 3.56, 4 Dy 3.60
Dy (0.5000, 0.5000, 0.7214)  4 Hg 3.22, 4 Gd 3.56, 4 Dy 3.60
Hg (0.0000, 0.0000, 0.5000)  8 Dy 3.22, 4 Hg 3.60

SG: No. 123
total energy: -0.4496 Ry/atom
ΔE to the lowest computed polymorph: 0 meV per atom
V: 116 Å³ per cell

---

No. 2
# GdDy2Hg

A relaxed GdDy2Hg crystal (GGA-PBE, Alexandria via LeMat-Bulk).

Cell: 4.8320 4.8320 4.7717 Å, 90.00 90.00 90.00°
Last column: nearest neighbours and their distance in Å.
Sites, in units of the cell vectors:
Gd (0.0000, 0.0000, 0.0000)  8 Dy 3.40, 4 Hg 3.42
Dy (0.0000, 0.5000, 0.5000)  4 Hg 3.40, 4 Gd 3.40, 4 Dy 3.42
Dy (0.5000, 0.0000, 0.5000)  4 Hg 3.40, 4 Gd 3.40, 4 Dy 3.42
Hg (0.5000, 0.5000, 0.0000)  8 Dy 3.40, 4 Gd 3.42

SG: No. 123
total energy: -0.4458 Ry/atom
ΔE to the lowest computed polymorph: 52 meV per atom
V: 111 Å³ per cell

---

No. 3
# GdDyHg

A relaxed GdDyHg crystal (GGA-PBE, Alexandria via LeMat-Bulk).

Cell: 5.1484 5.1484 3.7181 Å, 90.00 90.00 120.00°
Last column: nearest neighbours and their distance in Å.
Sites, in units of the cell vectors:
Gd (0.0000, 0.0000, 0.0000)  3 Hg 3.23, 6 Dy 3.43-3.59
Dy (0.3333, 0.6667, 0.4607)  3 Hg 3.06, 3 Gd 3.43
Hg (0.6667, 0.3333, 0.6613)  3 Dy 3.06, 3 Gd 3.23

SG: No. 156
total energy: -0.4793 Ry/atom
ΔE to the lowest computed polymorph: 128 meV per atom
V: 85 Å³ per cell

---

No. 4
# Gd2DyHg

A relaxed Gd2DyHg crystal (GGA-PBE, Alexandria via LeMat-Bulk).

Cell: 5.4354 5.4354 5.4354 Å, 60.00 60.00 60.00°
Last column: nearest neighbours and their distance in Å.
Sites, in units of the cell vectors:
Gd (0.2500, 0.2500, 0.2500)  4 Hg 3.33, 4 Dy 3.33
Gd (0.7500, 0.7500, 0.7500)  4 Hg 3.33, 4 Dy 3.33
Dy (0.0000, 0.0000, 0.0000)  8 Gd 3.33
Hg (0.5000, 0.5000, 0.5000)  8 Gd 3.33

SG: No. 225
total energy: -0.6132 Ry/atom
ΔE to the lowest computed polymorph: 149 meV per atom
V: 114 Å³ per cell

---

No. 5
# GdDy2Hg

A relaxed GdDy2Hg crystal (GGA-PBE, Alexandria via LeMat-Bulk).

Cell: 10.8045 10.8045 10.8045 Å, 19.20 19.20 19.20°
Last column: nearest neighbours and their distance in Å.
Sites, in units of the cell vectors:
Gd (0.0000, 0.0000, 0.0000)  6 Dy 3.56, 6 Gd 3.60
Dy (0.2423, 0.2423, 0.2423)  3 Hg 3.18
Dy (0.7577, 0.7577, 0.7577)  3 Hg 3.18
Hg (0.5000, 0.5000, 0.5000)  6 Dy 3.18

SG: No. 166
total energy: -0.4448 Ry/atom
ΔE to the lowest computed polymorph: 66 meV per atom
V: 119 Å³ per cell

---

No. 6
# GdDyInHg

A relaxed GdDyInHg crystal (GGA-PBE, Alexandria via LeMat-Bulk).

Cell: 5.3170 5.3170 5.3170 Å, 60.00 60.00 60.00°
Last column: nearest neighbours and their distance in Å.
Sites, in units of the cell vectors:
Gd (0.0000, 0.0000, 0.0000)  4 In 3.26, 4 Hg 3.26
Dy (0.5000, 0.5000, 0.5000)  4 In 3.26, 4 Hg 3.26
In (0.7500, 0.7500, 0.7500)  4 Gd 3.26, 4 Dy 3.26
Hg (0.2500, 0.2500, 0.2500)  4 Gd 3.26, 4 Dy 3.26

SG: No. 216
total energy: -0.4349 Ry/atom
V: 106 Å³ per cell

---

No. 7
# GdDyHgIr

A relaxed GdDyHgIr crystal (GGA-PBE, Alexandria via LeMat-Bulk).

Cell: 5.0606 5.0606 5.0606 Å, 60.00 60.00 60.00°
Last column: nearest neighbours and their distance in Å.
Sites, in units of the cell vectors:
Gd (0.0000, 0.0000, 0.0000)  4 Ir 3.10, 4 Hg 3.10
Dy (0.5000, 0.5000, 0.5000)  4 Hg 3.10, 4 Ir 3.10
Hg (0.2500, 0.2500, 0.2500)  4 Gd 3.10, 4 Dy 3.10
Ir (0.7500, 0.7500, 0.7500)  4 Gd 3.10, 4 Dy 3.10

SG: No. 216
total energy: -0.5559 Ry/atom
V: 92 Å³ per cell

---

No. 8
# LiGdDyHg

A relaxed LiGdDyHg crystal (GGA-PBE, Alexandria via LeMat-Bulk).

Cell: 5.2436 5.2436 5.2436 Å, 60.00 60.00 60.00°
Last column: nearest neighbours and their distance in Å.
Sites, in units of the cell vectors:
Li (0.0000, 0.0000, 0.0000)  4 Gd 3.21, 4 Dy 3.21
Gd (0.2500, 0.2500, 0.2500)  4 Hg 3.21, 4 Li 3.21
Dy (0.7500, 0.7500, 0.7500)  4 Li 3.21, 4 Hg 3.21
Hg (0.5000, 0.5000, 0.5000)  4 Dy 3.21, 4 Gd 3.21

SG: No. 216
total energy: -0.4003 Ry/atom
V: 102 Å³ per cell

---

total energy of number 1 (GdDy2Hg)?
-0.4496 Ry/atom

---

The highest total energy belongs to which entry?
LiGdDyHg

---

What is the V in the sixth record?
106 Å³ per cell